[1]
# NbPbS3 | Alexandria via LeMat-Bulk | PBE | relaxed
# Energy relative to the lowest polymorph listed for this composition ... 122.5 meV per atom
# ΔE_f (raw) ... -2.7 eV/f.u.
data_NbPbS3
_chemical_formula_sum 'Nb1 Pb1 S3'
_cell_length_a 4.8465
_cell_length_b 4.8465
_cell_length_c 4.8465
_cell_angle_alpha 90.00
_cell_angle_beta 90.00
_cell_angle_gamma 90.00
_symmetry_space_group_name_H-M 'P m -3 m'
_symmetry_Int_Tables_number 221
_symmetry_space_group_name_Hall '-P 4 2 3'
loop_
_atom_site_label
_atom_site_fract_x
_atom_site_fract_y
_atom_site_fract_z
_atom_site_occupancy
Nb1 0.0000 0.0000 0.0000 1
Pb1 0.5000 0.5000 0.5000 1
S1 0.0000 0.0000 0.5000 1


[2]
# NbPbS2 | Alexandria via LeMat-Bulk | PBE | relaxed
# ΔE_f (raw) ... -2.9 eV/f.u.
data_NbPbS2
_chemical_formula_sum 'Nb3 Pb3 S6'
_cell_length_a 3.3778
_cell_length_b 3.3778
_cell_length_c 26.3075
_cell_angle_alpha 90.00
_cell_angle_beta 90.00
_cell_angle_gamma 120.00
_symmetry_space_group_name_H-M 'R 3 m'
_symmetry_Int_Tables_number 160
_symmetry_space_group_name_Hall 'R 3 -2"'
loop_
_atom_site_label
_atom_site_fract_x
_atom_site_fract_y
_atom_site_fract_z
_atom_site_occupancy
Nb1 0.0000 0.0000 0.0000 1
Pb1 0.0000 0.0000 0.8323 1
S1 0.0000 0.0000 0.3937 1
S2 0.0000 0.0000 0.6068 1


[3]
# NbPb2S | Alexandria via LeMat-Bulk | PBE | relaxed
# ΔE_f (raw) ... 2.6 eV/f.u.
data_NbPb2S
_chemical_formula_sum 'Nb4 Pb8 S4'
_cell_length_a 8.0256
_cell_length_b 8.0256
_cell_length_c 6.0633
_cell_angle_alpha 90.00
_cell_angle_beta 90.00
_cell_angle_gamma 90.00
_symmetry_space_group_name_H-M 'I -4 2 d'
_symmetry_Int_Tables_number 122
_symmetry_space_group_name_Hall 'I -4 2bw'
loop_
_atom_site_label
_atom_site_fract_x
_atom_site_fract_y
_atom_site_fract_z
_atom_site_occupancy
Nb1 0.0000 0.0000 0.0000 1
Pb1 0.2460 0.2500 0.6250 1
S1 0.0000 0.0000 0.5000 1


[4]
# NbPb2S5 | Alexandria via LeMat-Bulk | PBE | relaxed
# ΔE_f (raw) ... -3.6 eV/f.u.
data_NbPb2S5
_chemical_formula_sum 'Nb2 Pb4 S10'
_cell_length_a 13.5222
_cell_length_b 6.1938
_cell_length_c 7.0752
_cell_angle_alpha 90.00
_cell_angle_beta 121.53
_cell_angle_gamma 90.00
_symmetry_space_group_name_H-M 'C 1 m 1'
_symmetry_Int_Tables_number 8
loop_
_symmetry_equiv_pos_as_xyz
'x,y,z'
'x,-y,z'
'x+1/2,y+1/2,z'
'x+1/2,-y+1/2,z'
loop_
_atom_site_label
_atom_site_fract_x
_atom_site_fract_y
_atom_site_fract_z
_atom_site_occupancy
Nb1 0.0000 0.0000 0.0000 1
Pb1 0.1974 0.0000 0.6974 1
Pb2 0.2110 0.5000 0.2120 1
S1 0.0652 0.2527 0.3046 1
S2 0.0659 0.2528 0.8273 1
S3 0.3053 0.5000 0.8046 1


[5]
# Nb2PbS4 | Alexandria via LeMat-Bulk | PBE | relaxed
# ΔE_f (raw) ... -5.1 eV/f.u.
data_Nb2PbS4
_chemical_formula_sum 'Nb8 Pb4 S16'
_cell_length_a 3.9253
_cell_length_b 11.5655
_cell_length_c 12.6012
_cell_angle_alpha 90.00
_cell_angle_beta 90.00
_cell_angle_gamma 90.00
_symmetry_space_group_name_H-M 'C m c m'
_symmetry_Int_Tables_number 63
_symmetry_space_group_name_Hall '-C 2c 2'
loop_
_atom_site_label
_atom_site_fract_x
_atom_site_fract_y
_atom_site_fract_z
_atom_site_occupancy
Nb1 0.0000 0.1081 0.0571 1
Pb1 0.0000 0.3656 0.2500 1
S1 0.0000 0.0543 0.2500 1
S2 0.0000 0.2398 0.6020 1
S3 0.0000 0.5000 0.0000 1


[6]
# NbSbPb2S | Alexandria via LeMat-Bulk | PBE | relaxed
# ΔE_f (raw) ... 1.2 eV/f.u.
data_NbSbPb2S
_chemical_formula_sum 'Nb1 Sb1 Pb2 S1'
_cell_length_a 5.7381
_cell_length_b 5.7381
_cell_length_c 4.5697
_cell_angle_alpha 90.00
_cell_angle_beta 90.00
_cell_angle_gamma 90.00
_symmetry_space_group_name_H-M 'P 4/m m m'
_symmetry_Int_Tables_number 123
_symmetry_space_group_name_Hall '-P 4 2'
loop_
_atom_site_label
_atom_site_fract_x
_atom_site_fract_y
_atom_site_fract_z
_atom_site_occupancy
Nb1 0.0000 0.0000 0.0000 1
Sb1 0.5000 0.5000 0.5000 1
Pb1 0.0000 0.5000 0.0000 1
S1 0.0000 0.0000 0.5000 1